DFT (meta-GGA SCAN) results for a crystal of SiRu relaxed with PBEsol.

a = 4.6031 Å, b = 4.6031 Å, c = 4.2086 Å
α = 105.71°, β = 105.71°, γ = 36.09°
Positions (direct):
Si 0.1242 0.1242 0.3121
Si 0.8758 0.8758 0.6879
Ru 0.3812 0.3812 0.2013
Ru 0.6188 0.6188 0.7987

Properties
Magnetization (μB per atom): 0.000
Formation energy (no corrections) (meV per atom): -642
N(E_F) (states/eV/atom): 0.43
Symmetry: No. 12